No. 1
The following is a PBE-GGA calculation of an optimized crystal structure of AgGeH3, from Alexandria via LeMat-Bulk.

Unit cell a=3.777 b=3.777 c=3.777 alpha=90.00 beta=90.00 gamma=90.00
Space group Pm-3m (No. 221)
Unique sites:
1 Ag 0.000 0.000 0.000 (multiplicity 1)
2 Ge 0.500 0.500 0.500 (multiplicity 1)
3 H 0.000 0.000 0.500 (multiplicity 3)



No. 2
The following is a PBE-GGA calculation of an optimized crystal structure of Ag2Ge2H, from Alexandria via LeMat-Bulk.

Unit cell a=5.531 b=5.531 c=5.290 alpha=90.00 beta=90.00 gamma=90.00
Space group P4/mbm (No. 127)
Unique sites:
1 Ag 0.183 0.317 0.000 (multiplicity 4)
2 Ge 0.187 0.687 0.500 (multiplicity 4)
3 H 0.000 0.000 0.000 (multiplicity 2)



No. 3
The following is a PBE-GGA calculation of an optimized crystal structure of AgGe3H, from Alexandria via LeMat-Bulk.

Unit cell a=5.008 b=5.008 c=5.008 alpha=90.00 beta=90.00 gamma=90.00
Space group Pm-3m (No. 221)
Unique sites:
1 Ag 0.000 0.000 0.000 (multiplicity 1)
2 Ge 0.000 0.000 0.500 (multiplicity 3)
3 H 0.500 0.500 0.500 (multiplicity 1)



No. 4
The following is a PBE-GGA calculation of an optimized crystal structure of AgGeH3, from Alexandria via LeMat-Bulk.

Unit cell a=3.790 b=3.790 c=3.790 alpha=90.00 beta=90.00 gamma=90.00
Space group Pm-3m (No. 221)
Unique sites:
1 Ag 0.000 0.000 0.000 (multiplicity 1)
2 Ge 0.500 0.500 0.500 (multiplicity 1)
3 H 0.000 0.500 0.500 (multiplicity 3)



No. 5
The following is a PBE-GGA calculation of an optimized crystal structure of AgGeH2, from Alexandria via LeMat-Bulk.

Unit cell a=5.694 b=5.694 c=5.694 alpha=90.00 beta=90.00 gamma=90.00
Space group Fm-3m (No. 225)
Unique sites:
1 Ag 0.000 0.000 0.000 (multiplicity 4)
2 Ge 0.000 0.000 0.500 (multiplicity 4)
3 H 0.250 0.250 0.250 (multiplicity 8)



No. 6
The following is a PBE-GGA calculation of an optimized crystal structure of Ag2Ge2H, from Alexandria via LeMat-Bulk.

Unit cell a=3.587 b=3.587 c=14.402 alpha=90.00 beta=90.00 gamma=90.00
Space group I4/mmm (No. 139)
Unique sites:
1 Ag 0.000 0.000 0.093 (multiplicity 4)
2 Ge 0.000 0.500 0.250 (multiplicity 4)
3 H 0.000 0.000 0.500 (multiplicity 2)



No. 7
The following is a PBE-GGA calculation of an optimized crystal structure of AgGeH2, from Alexandria via LeMat-Bulk.

Unit cell a=4.844 b=4.844 c=8.635 alpha=90.00 beta=90.00 gamma=90.00
Space group I-42d (No. 122)
Unique sites:
1 Ag 0.000 0.000 0.000 (multiplicity 4)
2 Ge 0.000 0.000 0.500 (multiplicity 4)
3 H 0.197 0.250 0.125 (multiplicity 8)



No. 8
The following is a PBE-GGA calculation of an optimized crystal structure of Ag2GeH, from Alexandria via LeMat-Bulk.

Unit cell a=5.676 b=5.676 c=8.112 alpha=90.00 beta=90.00 gamma=90.00
Space group I-42d (No. 122)
Unique sites:
1 Ag 0.136 0.250 0.125 (multiplicity 8)
2 Ge 0.000 0.000 0.500 (multiplicity 4)
3 H 0.000 0.000 0.000 (multiplicity 4)



| no. | relative energy among the computed polymorphs (meV/atom) |
| --- | --- |
| 1 | 66 |
| 2 | 0 |
| 3 | 770 |
| 4 | 0 |
| 5 | 232 |
| 6 | 344 |
| 7 | 0 |
| 8 | 0 |